No. 1
LuSc2Ga | GGA-PBE | optimized geometry

Calculated values
E_form (kJ/mol of formula units): -111.5
Theoretical density (g cm⁻³): 6.03

a b c (Å): 3.307 3.307 8.430
angles (deg): 90.00 90.00 90.00
Sites, in units of the cell vectors:
Ga: 0.500 0.500 0.000
Sc: 0.000 0.000 0.209
Sc: 0.000 0.000 0.791
Lu: 0.500 0.500 0.500

No. 2
Ba2HPb | GGA-PBE | optimized geometry

Calculated values
Theoretical density (g cm⁻³): 5.67
VASP energy (eV/atom): -3.0813

a b c (Å): 8.053 8.053 7.173
angles (deg): 55.85 55.85 90.00
Sites, in units of the cell vectors:
Ba: 0.537 0.125 0.250
H: 0.250 0.750 0.500
Ba: 0.875 0.787 0.750
Ba: 0.375 0.463 0.750
Ba: 0.213 0.625 0.250
Pb: 0.000 0.000 0.000
Pb: 0.750 0.250 0.500
H: 0.500 0.500 0.000

No. 3
Si3HgAs | GGA-PBE | optimized geometry

Calculated values
Theoretical density (g cm⁻³): 5.17
Energy relative to the elements, uncorrected (kJ/mol of atoms): 96.5

a b c (Å): 4.871 4.871 4.871
angles (deg): 90.00 90.00 90.00
Sites, in units of the cell vectors:
Si: 0.000 0.000 0.500
As: 0.000 0.000 0.000
Si: 0.500 0.000 0.000
Hg: 0.500 0.500 0.500
Si: 0.000 0.500 0.000

No. 4
Cs2KSBr6 | GGA-PBE | optimized geometry

Calculated values
Theoretical density (g cm⁻³): 3.38
Energy relative to the elements, uncorrected (kJ/mol of atoms): -93.6

a b c (Å): 8.001 8.001 8.441
angles (deg): 61.71 61.71 90.00
Last column: magnetic moment on the atom in μB.
Sites, in units of the cell vectors:
Cs: 0.250 0.750 0.500  0.00
Cs: 0.750 0.250 0.500  0.00
K: 0.000 0.000 0.000  0.01
Br: 0.281 0.719 0.000  0.01
Br: 0.719 0.281 0.000  0.01
S: 0.500 0.500 0.000  0.35
Br: 0.281 0.281 0.000  0.01
Br: 0.749 0.749 0.502  0.15
Br: 0.719 0.719 0.000  0.01
Br: 0.251 0.251 0.498  0.15

No. 5
SiIrOF2 | GGA-PBE | optimized geometry

Calculated values
Theoretical density (g cm⁻³): 6.12
Energy relative to the elements, uncorrected (kJ/mol of atoms): -23.0

a b c (Å): 4.475 4.475 3.719
angles (deg): 90.00 90.00 90.00
Sites, in units of the cell vectors:
O: 0.000 0.000 0.500
F: 0.500 0.000 0.000
Si: 0.500 0.500 0.500
Ir: 0.000 0.000 0.000
F: 0.000 0.500 0.000

No. 6
BeTlIn2 | GGA-PBE | optimized geometry

Calculated values
E_form (kJ/mol of formula units): 201.2
Theoretical density (g cm⁻³): 7.62

a b c (Å): 6.181 6.181 3.749
angles (deg): 73.81 73.81 123.46
Sites, in units of the cell vectors:
Be: 0.000 0.500 0.500
In: 0.500 0.500 0.000
In: 0.000 0.000 0.000
Tl: 0.500 0.000 0.500

No. 7
PmHF | GGA-PBE | optimized geometry

Calculated values
Theoretical density (g cm⁻³): 6.10
VASP energy (eV/atom): -5.2381

a b c (Å): 4.758 4.758 3.971
angles (deg): 90.00 90.00 91.59
Sites, in units of the cell vectors:
F: 0.159 0.515 0.718
H: 0.436 0.791 0.218
H: 0.791 0.436 0.218
Pm: 0.248 0.248 0.218
Pm: 0.699 0.699 0.718
F: 0.515 0.159 0.718

No. 8
NiHgI2 | GGA-PBE | optimized geometry

Calculated values
Theoretical density (g cm⁻³): 7.76
Energy relative to the elements, uncorrected (kJ/mol of atoms): 57.4

a b c (Å): 5.374 5.374 5.374
angles (deg): 60.00 60.00 60.00
Last column: magnetic moment on the atom in μB.
Sites, in units of the cell vectors:
I: 0.250 0.250 0.250  0.09
I: 0.750 0.750 0.750  0.09
Ni: 0.000 0.000 0.000  1.02
Hg: 0.500 0.500 0.500  0.04

No. 9
Ba2Mg | GGA-PBE | optimized geometry

Calculated values
E_form (kJ/mol of formula units): 1.8
Theoretical density (g cm⁻³): 3.41

a b c (Å): 11.811 11.811 11.811
angles (deg): 60.00 60.00 60.00
Sites, in units of the cell vectors:
Ba: 0.500 0.000 0.000
Ba: 0.064 0.564 0.686
Ba: 0.936 0.814 0.314
Ba: 0.314 0.436 0.314
Ba: 0.936 0.814 0.936
Ba: 0.314 0.436 0.936
Mg: 0.298 0.798 0.298
Ba: 0.064 0.186 0.686
Mg: 0.298 0.105 0.298
Mg: 0.395 0.202 0.702
Ba: 0.686 0.564 0.686
Mg: 0.605 0.798 0.298
Mg: 0.702 0.895 0.702
Ba: 0.500 0.500 0.500
Ba: 0.000 0.000 0.500
Mg: 0.702 0.202 0.395
Mg: 0.702 0.202 0.702
Mg: 0.298 0.798 0.605
Ba: 0.500 0.000 0.500
Ba: 0.314 0.814 0.936
Ba: 0.064 0.186 0.064
Ba: 0.686 0.564 0.064
Ba: 0.936 0.436 0.314
Ba: 0.686 0.186 0.064

No. 10
TbEr2Ag | GGA-PBE | optimized geometry

Calculated values
E_form (kJ/mol of formula units): -52.7
Theoretical density (g cm⁻³): 9.04

a b c (Å): 3.537 3.537 8.827
angles (deg): 90.00 90.00 90.00
Sites, in units of the cell vectors:
Er: 0.000 0.000 0.214
Tb: 0.500 0.500 0.500
Er: 0.000 0.000 0.786
Ag: 0.500 0.500 0.000

No. 11
Zr2NbCdH | GGA-PBE | optimized geometry

Calculated values
Theoretical density (g cm⁻³): 7.55
VASP energy (eV/atom): -6.4284

a b c (Å): 4.561 4.561 4.112
angles (deg): 90.00 90.00 90.00
Sites, in units of the cell vectors:
H: 0.000 0.000 0.000
Cd: 0.500 0.500 0.500
Zr: 0.500 0.000 0.000
Nb: 0.000 0.000 0.500
Zr: 0.000 0.500 0.000

No. 12
CaCr2Mo | GGA-PBE | optimized geometry

Calculated values
E_form (kJ/mol of formula units): 356.1
Theoretical density (g cm⁻³): 6.28

a b c (Å): 5.522 5.302 2.612
angles (deg): 79.48 82.96 119.38
Last column: magnetic moment on the atom in μB.
Sites, in units of the cell vectors:
Cr: 0.000 0.000 0.000  0.76
Cr: 0.500 0.000 0.500  0.76
Mo: 0.000 0.500 0.500  -0.21
Ca: 0.500 0.500 0.000  0.03

No. 13
Zn5Ru4 | GGA-PBE | optimized geometry

Calculated values
E_form (kJ/mol of formula units): 105.9
Theoretical density (g cm⁻³): 9.56

a b c (Å): 7.570 7.570 5.117
angles (deg): 90.00 90.00 60.00
Last column: magnetic moment on the atom in μB.
Sites, in units of the cell vectors:
Ru: 0.354 0.000 0.250  0.47
Zn: 0.333 0.333 0.500  -0.01
Ru: 0.000 0.000 0.000  0.67
Ru: 0.354 0.646 0.750  0.47
Zn: 0.000 0.688 0.750  0.00
Ru: 0.000 0.646 0.250  0.47
Zn: 0.688 0.312 0.750  0.00
Zn: 0.667 0.667 0.500  -0.01
Zn: 0.000 0.312 0.250  0.00
Ru: 0.000 0.000 0.500  0.67
Zn: 0.688 0.000 0.250  0.00
Zn: 0.667 0.667 0.000  -0.01
Ru: 0.646 0.354 0.250  0.47
Zn: 0.333 0.333 0.000  -0.01
Zn: 0.312 0.688 0.250  0.00
Ru: 0.646 0.000 0.750  0.47
Zn: 0.312 0.000 0.750  0.00
Ru: 0.000 0.354 0.750  0.47

No. 14
LaSm3Ga3 | GGA-PBE | optimized geometry

Calculated values
E_form (kJ/mol of formula units): -289.0
Theoretical density (g cm⁻³): 6.97

a b c (Å): 4.861 9.511 9.511
angles (deg): 120.00 90.00 90.00
Sites, in units of the cell vectors:
Sm: 0.250 0.239 0.261
Ga: 0.750 0.943 0.550
Sm: 0.750 0.978 0.239
Sm: 0.250 0.739 0.978
La: 0.250 0.667 0.333
La: 0.750 0.333 0.667
Ga: 0.750 0.450 0.393
Sm: 0.250 0.022 0.761
Sm: 0.750 0.761 0.739
Ga: 0.250 0.393 0.943
Ga: 0.750 0.607 0.057
Sm: 0.750 0.261 0.022
Ga: 0.250 0.550 0.607
Ga: 0.250 0.057 0.450

No. 15
Li3NpV2S6 | GGA-PBE | optimized geometry

Calculated values
Theoretical density (g cm⁻³): 4.40
Energy relative to the elements, uncorrected (kJ/mol of atoms): -116.4

a b c (Å): 6.281 6.281 6.447
angles (deg): 99.43 99.43 119.98
Last column: magnetic moment on the atom in μB.
Sites, in units of the cell vectors:
Li: 0.500 0.500 0.500  0.00
S: 0.437 0.079 0.236  -0.08
V: 0.667 0.333 0.000  2.08
Li: 0.164 0.836 0.500  0.00
S: 0.278 0.278 0.762  -0.07
S: 0.921 0.563 0.764  -0.08
Li: 0.836 0.164 0.500  0.00
S: 0.079 0.437 0.236  -0.08
S: 0.563 0.921 0.764  -0.08
V: 0.333 0.667 0.000  2.08
Np: 0.000 0.000 0.000  3.50
S: 0.722 0.722 0.238  -0.07

No. 16
AlV6Ga3 | GGA-PBE | optimized geometry

Calculated values
E_form (kJ/mol of formula units): 34.8
Theoretical density (g cm⁻³): 5.94

a b c (Å): 6.235 7.351 7.351
angles (deg): 116.04 90.00 90.00
Sites, in units of the cell vectors:
V: 0.818 0.429 0.006
V: 0.805 0.055 0.945
Ga: 0.223 0.409 0.591
V: 0.050 0.730 0.270
Ga: 0.723 0.591 0.409
Al: 0.144 0.178 0.822
V: 0.594 0.615 0.762
Al: 0.644 0.822 0.178
V: 0.094 0.385 0.238
Ga: 0.469 0.295 0.090
V: 0.305 0.945 0.055
V: 0.550 0.270 0.730
Ga: 0.969 0.705 0.910
V: 0.594 0.238 0.385
Ga: 0.969 0.090 0.295
V: 0.818 0.994 0.571
V: 0.318 0.571 0.994
Ga: 0.469 0.910 0.705
V: 0.318 0.006 0.429
V: 0.094 0.762 0.615

No. 17
CaMg2UO6 | GGA-PBE | optimized geometry

Calculated values
Theoretical density (g cm⁻³): 5.47
Energy relative to the elements, uncorrected (kJ/mol of atoms): -284.9

a b c (Å): 5.496 5.496 5.844
angles (deg): 61.95 61.94 59.99
Sites, in units of the cell vectors:
O: 0.146 0.374 0.764
O: 0.716 0.146 0.764
O: 0.605 0.239 0.239
O: 0.374 0.716 0.764
Ca: 0.805 0.805 0.586
O: 0.239 0.917 0.239
U: 0.318 0.318 0.045
Mg: 0.526 0.526 0.420
O: 0.917 0.605 0.239
Mg: 0.015 0.015 0.954

No. 18
ZrSc3B | GGA-PBE | optimized geometry

Calculated values
E_form (kJ/mol of formula units): 38.6
Theoretical density (g cm⁻³): 3.71

a b c (Å): 4.731 4.731 4.731
angles (deg): 90.00 90.00 90.00
Last column: magnetic moment on the atom in μB.
Sites, in units of the cell vectors:
Zr: 0.500 0.500 0.500  0.56
Sc: 0.500 0.000 0.000  0.12
Sc: 0.000 0.000 0.500  0.12
Sc: 0.000 0.500 0.000  0.07
B: 0.000 0.000 0.000  0.01

No. 19
LaGaCoAu2 | GGA-PBE | optimized geometry

Calculated values
E_form (kJ/mol of formula units): 2.5
Theoretical density (g cm⁻³): 9.29

a b c (Å): 5.006 4.718 5.006
angles (deg): 90.00 90.00 90.00
Last column: magnetic moment on the atom in μB.
Sites, in units of the cell vectors:
Co: 0.000 0.000 0.000  0.27
La: 0.000 0.500 0.000  -0.04
Ga: 0.500 0.500 0.500  -0.01
Au: 0.500 0.000 0.000  0.00
Au: 0.000 0.000 0.500  0.00

No. 20
Th4PPbSe2 | GGA-PBE | optimized geometry

Calculated values
Theoretical density (g cm⁻³): 9.77
Energy relative to the elements, uncorrected (kJ/mol of atoms): -115.4

a b c (Å): 4.307 7.532 7.367
angles (deg): 109.67 90.00 90.00
Sites, in units of the cell vectors:
Th: 0.500 0.723 0.745
Th: 0.000 0.724 0.239
P: 0.500 0.500 0.000
Se: 0.500 0.000 0.500
Th: 0.000 0.276 0.761
Pb: 0.000 0.000 0.000
Se: 0.000 0.500 0.500
Th: 0.500 0.277 0.255